[1]
! Pr6Ga2Sb | Alexandria via LeMat-Bulk | PBE | relaxed; values from VASP
! - total moment (μB per cell) = 0.00
! - DOS(E_F) (states/eV/cell) = 19.3
! - E (eV/atom) = -4.81
&SYSTEM
  ibrav = 0, nat = 18, ntyp = 3
/
ATOMIC_SPECIES
Pr 140.91 Pr.upf
Sb 121.76 Sb.upf
Ga 69.72 Ga.upf
ATOMIC_POSITIONS crystal
Pr 0.530 0.718 0.812
Pr 0.797 0.770 0.567
Pr 0.292 0.616 0.324
Pr 0.203 0.230 0.433
Pr 0.470 0.282 0.188
Pr 0.708 0.032 0.324
Pr 0.203 0.770 0.972
Pr 0.095 0.282 0.812
Pr 0.797 0.230 0.028
Pr 0.708 0.384 0.676
Pr 0.905 0.718 0.188
Pr 0.292 0.968 0.676
Sb 0.000 0.500 0.500
Sb 0.000 0.000 0.000
Ga 0.630 0.000 0.630
Ga 0.500 0.618 0.118
Ga 0.370 0.000 0.370
Ga 0.500 0.382 0.882
CELL_PARAMETERS angstrom
-4.474 -7.649 -1.560
8.629 -0.250 -2.535
0.428 1.760 8.813

[2]
! NaCeNp4N8 | Alexandria via LeMat-Bulk | PBE | relaxed; values from VASP
! - total moment (μB per cell) = 9.00
! - DOS(E_F) (states/eV/cell) = 24.0
! - E (eV/atom) = -9.92
&SYSTEM
  ibrav = 0, nat = 14, ntyp = 4
/
ATOMIC_SPECIES
N 14.01 N.upf
Na 22.99 Na.upf
Np 237.00 Np.upf
Ce 140.12 Ce.upf
ATOMIC_POSITIONS crystal
N 0.799 0.250 0.700
N 0.250 0.250 0.700
N 0.250 0.799 0.700
N 0.237 0.237 0.288
N 0.760 0.760 0.720
N 0.742 0.216 0.300
N 0.216 0.742 0.300
N 0.742 0.742 0.300
Na 0.999 0.999 0.004
Np 0.616 0.616 0.152
Np 0.498 0.001 0.500
Np 0.001 0.001 0.500
Np 0.001 0.498 0.500
Ce 0.389 0.389 0.834
CELL_PARAMETERS angstrom
-4.377 -5.336 0.042
2.299 -6.337 1.477
-1.673 -3.047 5.653

[3]
! K4Pm3PtO8 | Alexandria via LeMat-Bulk | PBE | relaxed; values from VASP
! - total moment (μB per cell) = 1.02
! - DOS(E_F) (states/eV/cell) = 0.9
! - E (eV/atom) = -6.14
&SYSTEM
  ibrav = 0, nat = 16, ntyp = 4
/
ATOMIC_SPECIES
Pm 145.00 Pm.upf
O 16.00 O.upf
K 39.10 K.upf
Pt 195.08 Pt.upf
ATOMIC_POSITIONS crystal
Pm 0.500 0.500 0.000
Pm 0.000 0.500 0.500
Pm 0.500 0.500 0.500
O 0.752 0.677 0.958
O 0.276 0.310 0.553
O 0.263 0.724 0.527
O 0.205 0.677 0.958
O 0.737 0.276 0.473
O 0.724 0.690 0.447
O 0.248 0.323 0.042
O 0.795 0.323 0.042
K 0.500 0.000 0.500
K 0.500 0.000 0.000
K 0.000 0.000 0.000
K 0.000 0.000 0.500
Pt 0.000 0.500 0.000
CELL_PARAMETERS angstrom
-3.560 1.105 5.861
-4.411 -5.743 -1.596
7.015 -1.260 0.382

[4]
! Nd3Dy4Sn4 | Alexandria via LeMat-Bulk | PBE | relaxed; values from VASP
! - total moment (μB per cell) = 2.90
! - DOS(E_F) (states/eV/cell) = 11.0
! - E (eV/atom) = -4.98
&SYSTEM
  ibrav = 0, nat = 11, ntyp = 3
/
ATOMIC_SPECIES
Dy 162.50 Dy.upf
Nd 144.24 Nd.upf
Sn 118.71 Sn.upf
ATOMIC_POSITIONS crystal
Dy 0.329 0.523 0.657
Dy 0.671 0.866 0.343
Dy 0.671 0.477 0.343
Dy 0.329 0.134 0.657
Nd 0.893 0.893 0.786
Nd 0.000 0.500 0.000
Nd 0.107 0.107 0.214
Sn 0.752 0.252 0.504
Sn 0.248 0.748 0.496
Sn 0.500 0.214 0.000
Sn 0.500 0.786 0.000
CELL_PARAMETERS angstrom
4.286 0.000 0.000
0.000 9.347 0.000
-2.143 -4.674 8.532

[5]
! In2ReTe2 | Alexandria via LeMat-Bulk | PBE | relaxed; values from VASP
! - total moment (μB per cell) = 0.00
! - ΔE to the lowest computed polymorph (meV/atom) = 222
! - DOS(E_F) (states/eV/cell) = 2.8
! - E (eV/atom) = -3.78
&SYSTEM
  ibrav = 0, nat = 5, ntyp = 3
/
ATOMIC_SPECIES
In 114.82 In.upf
Te 127.60 Te.upf
Re 186.21 Re.upf
ATOMIC_POSITIONS crystal
In 0.424 0.424 0.153
In 0.576 0.576 0.847
Te 0.750 0.250 0.500
Te 0.250 0.750 0.500
Re 0.000 0.000 0.000
CELL_PARAMETERS angstrom
3.937 0.000 0.000
0.000 3.937 0.000
1.969 1.969 9.220

[6]
! RbNaTaS2 | Alexandria via LeMat-Bulk | PBE | relaxed; values from VASP
! - total moment (μB per cell) = 2.98
! - DOS(E_F) (states/eV/cell) = 4.2
! - E (eV/atom) = -3.42
&SYSTEM
  ibrav = 0, nat = 5, ntyp = 4
/
ATOMIC_SPECIES
S 32.06 S.upf
Rb 85.47 Rb.upf
Na 22.99 Na.upf
Ta 180.95 Ta.upf
ATOMIC_POSITIONS crystal
S 0.000 0.000 0.500
S 0.500 0.000 0.000
Rb 0.500 0.500 0.500
Na 0.000 0.000 0.000
Ta 0.000 0.500 0.000
CELL_PARAMETERS angstrom
-0.641 -0.534 -5.168
-0.158 -5.085 0.545
-5.193 0.228 0.621